No. 1
Density functional theory data (PBE-GGA) for a geometry-optimized GaBi2I structure.

Structure (CIF):
```
data_GaBi2I
_chemical_formula_sum 'Ga2 Bi4 I2'
_symmetry_space_group_name_H-M 'P 1 m 1'
_symmetry_Int_Tables_number 6
_symmetry_space_group_name_Hall 'P -2y'
_cell_length_a 6.2408
_cell_length_b 8.2384
_cell_length_c 6.6478
_cell_angle_alpha 90.00
_cell_angle_beta 114.47
_cell_angle_gamma 90.00
loop_
_atom_site_label
_atom_site_type_symbol
_atom_site_fract_x
_atom_site_fract_y
_atom_site_fract_z
Ga1 Ga 0.0000 0.2375 0.0000
Bi1 Bi 0.2182 0.5000 0.2949
Bi2 Bi 0.2769 0.0000 0.8891
Bi3 Bi 0.7092 0.5000 0.7594
Bi4 Bi 0.8113 0.0000 0.1888
I1 I 0.4349 0.0000 0.4924
I2 I 0.6980 0.5000 0.2603
```

Results
Formation energy (no corrections) ... 0.26 eV per formula unit
E above lowest polymorph ... 0.00 eV per formula unit
DOS at the Fermi energy ... 1.8 states/eV per cell


No. 2
Density functional theory data (PBE-GGA) for a geometry-optimized TePt2Cl structure.

Structure (CIF):
```
data_TePt2Cl
_chemical_formula_sum 'Te4 Pt8 Cl4'
_symmetry_space_group_name_H-M 'F m -3 m'
_symmetry_Int_Tables_number 225
_symmetry_space_group_name_Hall '-F 4 2 3'
_cell_length_a 6.6950
_cell_length_b 6.6950
_cell_length_c 6.6950
_cell_angle_alpha 90.00
_cell_angle_beta 90.00
_cell_angle_gamma 90.00
loop_
_atom_site_label
_atom_site_type_symbol
_atom_site_fract_x
_atom_site_fract_y
_atom_site_fract_z
Te1 Te 0.0000 0.0000 0.0000
Pt1 Pt 0.2500 0.2500 0.2500
Cl1 Cl 0.0000 0.0000 0.5000
```

Results
Formation energy (no corrections) ... 1.49 eV per formula unit
E above lowest polymorph ... 2.44 eV per formula unit
DOS at the Fermi energy ... 16.6 states/eV per cell


No. 3
Density functional theory data (PBE-GGA) for a geometry-optimized CaTbIr structure.

Structure (CIF):
```
data_CaTbIr
_chemical_formula_sum 'Ca2 Tb2 Ir2'
_symmetry_space_group_name_H-M 'P 1'
_symmetry_Int_Tables_number 1
_symmetry_space_group_name_Hall 'P 1'
_cell_length_a 3.6512
_cell_length_b 6.9172
_cell_length_c 6.9926
_cell_angle_alpha 76.08
_cell_angle_beta 89.97
_cell_angle_gamma 89.59
loop_
_atom_site_label
_atom_site_type_symbol
_atom_site_fract_x
_atom_site_fract_y
_atom_site_fract_z
Ca1 Ca 0.0000 0.0000 0.0000
Ca2 Ca 0.4938 0.9441 0.5063
Tb1 Tb 0.9926 0.4960 0.8777
Tb2 Tb 0.9935 0.4225 0.3962
Ir1 Ir 0.4958 0.2691 0.1536
Ir2 Ir 0.4961 0.2716 0.7101
```

Results
ΔE_f ... -0.413 eV per atom
E above lowest polymorph ... 0.40 eV per formula unit
DOS at the Fermi energy ... 4.1 states/eV per cell


No. 4
Density functional theory data (PBE-GGA) for a geometry-optimized SrZnH8Pt2 structure.

Structure (CIF):
```
data_SrZnH8Pt2
_chemical_formula_sum 'Sr2 Zn2 H16 Pt4'
_symmetry_space_group_name_H-M 'C 1 2/m 1'
_symmetry_Int_Tables_number 12
_symmetry_space_group_name_Hall '-C 2y'
_cell_length_a 6.9249
_cell_length_b 5.1840
_cell_length_c 7.3349
_cell_angle_alpha 90.00
_cell_angle_beta 104.24
_cell_angle_gamma 90.00
loop_
_atom_site_label
_atom_site_type_symbol
_atom_site_fract_x
_atom_site_fract_y
_atom_site_fract_z
Sr1 Sr 0.0000 0.0000 0.0000
Zn1 Zn 0.0000 0.0000 0.5000
H1 H 0.0804 0.5000 0.9148
H2 H 0.1405 0.1838 0.7181
H3 H 0.1898 0.5000 0.4974
Pt1 Pt 0.1158 0.5000 0.7000
```

Results
DOS at the Fermi energy ... 3.5 states/eV per cell
Calculated total energy ... -88.1 eV for the cell shown


No. 5
Density functional theory data (PBE-GGA) for a geometry-optimized SrTeOs2 structure.

Structure (CIF):
```
data_SrTeOs2
_chemical_formula_sum 'Sr4 Te4 Os8'
_symmetry_space_group_name_H-M 'F -4 3 m'
_symmetry_Int_Tables_number 216
_symmetry_space_group_name_Hall 'F -4 2 3'
_cell_length_a 6.8678
_cell_length_b 6.8678
_cell_length_c 6.8678
_cell_angle_alpha 90.00
_cell_angle_beta 90.00
_cell_angle_gamma 90.00
loop_
_atom_site_label
_atom_site_type_symbol
_atom_site_fract_x
_atom_site_fract_y
_atom_site_fract_z
Sr1 Sr 0.0000 0.0000 0.0000
Te1 Te 0.2500 0.2500 0.2500
Os1 Os 0.0000 0.0000 0.5000
Os2 Os 0.2500 0.2500 0.7500
```

Results
Formation energy (no corrections) ... 4.33 eV per formula unit
E above lowest polymorph ... 3.91 eV per formula unit
DOS at the Fermi energy ... 17.7 states/eV per cell


No. 6
Density functional theory data (PBE-GGA) for a geometry-optimized KCrTc structure.

Structure (CIF):
```
data_KCrTc
_chemical_formula_sum 'K4 Cr4 Tc4'
_symmetry_space_group_name_H-M 'F -4 3 m'
_symmetry_Int_Tables_number 216
_symmetry_space_group_name_Hall 'F -4 2 3'
_cell_length_a 6.5524
_cell_length_b 6.5524
_cell_length_c 6.5524
_cell_angle_alpha 90.00
_cell_angle_beta 90.00
_cell_angle_gamma 90.00
loop_
_atom_site_label
_atom_site_type_symbol
_atom_site_fract_x
_atom_site_fract_y
_atom_site_fract_z
K1 K 0.0000 0.0000 0.0000
Cr1 Cr 0.0000 0.0000 0.5000
Tc1 Tc 0.2500 0.2500 0.2500
```

Results
ΔE_f ... 1.793 eV per atom
E above lowest polymorph ... 2.79 eV per formula unit
DOS at the Fermi energy ... 12.2 states/eV per cell


The lowest DOS at the Fermi energy belongs to which entry? GaBi2I